Entry 1:
Crystalline HoNpCrO6 at its relaxed geometry, computed with PBE with a Hubbard U.

Properties
- uncorrected energy (eV/cell) = -156.28
- density of states at the Fermi level (states/eV per atom) = 0.0724

Cell lengths 5.558, 5.558, 8.686 Å; angles 90.00, 90.00, 120.00 degrees
Fractional coordinates of all 18 atoms:
1 O 0.336 0.026 0.125
2 O 0.974 0.310 0.125
3 O 0.690 0.026 0.375
4 Ho 0.333 0.667 0.250
5 O 0.664 0.974 0.875
6 O 0.310 0.336 0.875
7 O 0.310 0.974 0.625
8 Cr 0.000 0.000 0.000
9 O 0.690 0.664 0.125
10 Np 0.667 0.333 0.250
11 O 0.026 0.690 0.875
12 O 0.664 0.690 0.625
13 O 0.026 0.336 0.625
14 Np 0.333 0.667 0.750
15 O 0.336 0.310 0.375
16 Cr 0.000 0.000 0.500
17 O 0.974 0.664 0.375
18 Ho 0.667 0.333 0.750

---

Entry 2:
Crystalline HoNpCr2O6 at its relaxed geometry, computed with PBE with a Hubbard U.

Properties
- uncorrected energy (eV/cell) = -87.62
- density of states at the Fermi level (states/eV per atom) = 1.1373

Cell lengths 5.431, 5.562, 5.830 Å; angles 60.41, 62.94, 61.24 degrees
Fractional coordinates of all 10 atoms:
1 Np 0.307 0.312 0.077
2 O 0.143 0.388 0.745
3 O 0.614 0.249 0.263
4 O 0.237 0.881 0.242
5 Cr 0.023 0.012 0.943
6 Cr 0.517 0.514 0.453
7 O 0.407 0.709 0.730
8 O 0.882 0.640 0.241
9 Ho 0.809 0.812 0.579
10 O 0.722 0.144 0.742